[1]
Compound: Pu4UIn15
Source: Alexandria via LeMat-Bulk
Functional: PBE-GGA
Structure: optimized geometry

```
data_Pu4UIn15
_symmetry_space_group_name_H-M 'P 4/m m m'
_symmetry_Int_Tables_number 123
_symmetry_space_group_name_Hall '-P 4 2'
_cell_length_a 5.7786
_cell_length_b 5.7786
_cell_length_c 15.3139
_cell_angle_alpha 90.00
_cell_angle_beta 90.00
_cell_angle_gamma 90.00
loop_
_atom_site_label
_atom_site_type_symbol
_atom_site_fract_x
_atom_site_fract_y
_atom_site_fract_z
Pu1 Pu 0.0000 0.0000 0.1288
Pu2 Pu 0.0000 0.0000 0.2756
U1 U 0.0000 0.0000 0.5000
In1 In 0.0000 0.5000 0.0000
In2 In 0.0000 0.5000 0.1990
In3 In 0.0000 0.5000 0.3963
In4 In 0.5000 0.5000 0.0995
In5 In 0.5000 0.5000 0.2991
In6 In 0.5000 0.5000 0.5000
```

---

[2]
Compound: Pu2UIn
Source: Alexandria via LeMat-Bulk
Functional: PBE-GGA
Structure: optimized geometry

```
data_Pu2UIn
_symmetry_space_group_name_H-M 'R -3 m'
_symmetry_Int_Tables_number 166
_symmetry_space_group_name_Hall '-R 3 2"'
_cell_length_a 3.6657
_cell_length_b 3.6657
_cell_length_c 27.7891
_cell_angle_alpha 90.00
_cell_angle_beta 90.00
_cell_angle_gamma 120.00
loop_
_atom_site_label
_atom_site_type_symbol
_atom_site_fract_x
_atom_site_fract_y
_atom_site_fract_z
Pu1 Pu 0.0000 0.0000 0.1134
U1 U 0.0000 0.0000 0.5000
In1 In 0.0000 0.0000 0.0000
```

---

[3]
Compound: Pu2UIn
Source: Alexandria via LeMat-Bulk
Functional: PBE-GGA
Structure: optimized geometry

```
data_Pu2UIn
_symmetry_space_group_name_H-M 'P 4/m m m'
_symmetry_Int_Tables_number 123
_symmetry_space_group_name_Hall '-P 4 2'
_cell_length_a 4.6688
_cell_length_b 4.6688
_cell_length_c 4.6586
_cell_angle_alpha 90.00
_cell_angle_beta 90.00
_cell_angle_gamma 90.00
loop_
_atom_site_label
_atom_site_type_symbol
_atom_site_fract_x
_atom_site_fract_y
_atom_site_fract_z
Pu1 Pu 0.0000 0.5000 0.0000
U1 U 0.0000 0.0000 0.5000
In1 In 0.5000 0.5000 0.5000
```

---

[4]
Compound: PuUIn2
Source: Alexandria via LeMat-Bulk
Functional: PBE-GGA
Structure: optimized geometry

```
data_PuUIn2
_symmetry_space_group_name_H-M 'P 4/m m m'
_symmetry_Int_Tables_number 123
_symmetry_space_group_name_Hall '-P 4 2'
_cell_length_a 4.3733
_cell_length_b 4.3733
_cell_length_c 5.0877
_cell_angle_alpha 90.00
_cell_angle_beta 90.00
_cell_angle_gamma 90.00
loop_
_atom_site_label
_atom_site_type_symbol
_atom_site_fract_x
_atom_site_fract_y
_atom_site_fract_z
Pu1 Pu 0.0000 0.0000 0.0000
U1 U 0.5000 0.5000 0.0000
In1 In 0.0000 0.5000 0.5000
```

---

[5]
Compound: Pu2UIn
Source: Alexandria via LeMat-Bulk
Functional: PBE-GGA
Structure: optimized geometry

```
data_Pu2UIn
_symmetry_space_group_name_H-M 'P 4/m m m'
_symmetry_Int_Tables_number 123
_symmetry_space_group_name_Hall '-P 4 2'
_cell_length_a 3.2788
_cell_length_b 3.2788
_cell_length_c 8.7898
_cell_angle_alpha 90.00
_cell_angle_beta 90.00
_cell_angle_gamma 90.00
loop_
_atom_site_label
_atom_site_type_symbol
_atom_site_fract_x
_atom_site_fract_y
_atom_site_fract_z
Pu1 Pu 0.0000 0.0000 0.2233
U1 U 0.5000 0.5000 0.0000
In1 In 0.5000 0.5000 0.5000
```

---

[6]
Compound: YPu2In
Source: Alexandria via LeMat-Bulk
Functional: PBE-GGA
Structure: optimized geometry

```
data_YPu2In
_symmetry_space_group_name_H-M 'F m -3 m'
_symmetry_Int_Tables_number 225
_symmetry_space_group_name_Hall '-F 4 2 3'
_cell_length_a 7.6355
_cell_length_b 7.6355
_cell_length_c 7.6355
_cell_angle_alpha 90.00
_cell_angle_beta 90.00
_cell_angle_gamma 90.00
loop_
_atom_site_label
_atom_site_type_symbol
_atom_site_fract_x
_atom_site_fract_y
_atom_site_fract_z
Y1 Y 0.0000 0.0000 0.0000
Pu1 Pu 0.2500 0.2500 0.2500
In1 In 0.0000 0.0000 0.5000
```

---

[7]
Compound: Y3PuIn4
Source: Alexandria via LeMat-Bulk
Functional: PBE-GGA
Structure: optimized geometry

```
data_Y3PuIn4
_symmetry_space_group_name_H-M 'P 4/m m m'
_symmetry_Int_Tables_number 123
_symmetry_space_group_name_Hall '-P 4 2'
_cell_length_a 3.7597
_cell_length_b 3.7597
_cell_length_c 15.2142
_cell_angle_alpha 90.00
_cell_angle_beta 90.00
_cell_angle_gamma 90.00
loop_
_atom_site_label
_atom_site_type_symbol
_atom_site_fract_x
_atom_site_fract_y
_atom_site_fract_z
Y1 Y 0.0000 0.0000 0.0000
Y2 Y 0.0000 0.0000 0.2482
Pu1 Pu 0.0000 0.0000 0.5000
In1 In 0.5000 0.5000 0.1243
In2 In 0.5000 0.5000 0.3705
```

---

[8]
Compound: YPuIn4
Source: Alexandria via LeMat-Bulk
Functional: PBE-GGA
Structure: optimized geometry

```
data_YPuIn4
_symmetry_space_group_name_H-M 'P 1 2/m 1'
_symmetry_Int_Tables_number 10
_cell_length_a 3.4681
_cell_length_b 5.0446
_cell_length_c 8.8049
_cell_angle_alpha 90.00
_cell_angle_beta 90.00
_cell_angle_gamma 90.00
loop_
_symmetry_equiv_pos_as_xyz
'x,y,z'
'-x,-y,-z'
'-x,y,-z'
'x,-y,z'
loop_
_atom_site_label
_atom_site_type_symbol
_atom_site_fract_x
_atom_site_fract_y
_atom_site_fract_z
Y1 Y 0.0000 0.0000 0.0000
Pu1 Pu 0.0000 0.5000 0.5000
In1 In 0.4983 0.0000 0.3319
In2 In 0.4977 0.5000 0.8351
```

---

[9]
Compound: YPuIn6
Source: Alexandria via LeMat-Bulk
Functional: PBE-GGA
Structure: optimized geometry

```
data_YPuIn6
_symmetry_space_group_name_H-M 'P -6 m 2'
_symmetry_Int_Tables_number 187
_symmetry_space_group_name_Hall 'P -6 2'
_cell_length_a 6.6334
_cell_length_b 6.6334
_cell_length_c 5.2813
_cell_angle_alpha 90.00
_cell_angle_beta 90.00
_cell_angle_gamma 120.00
loop_
_atom_site_label
_atom_site_type_symbol
_atom_site_fract_x
_atom_site_fract_y
_atom_site_fract_z
Y1 Y 0.0000 0.0000 0.0000
Pu1 Pu 0.3333 0.6667 0.5000
In1 In 0.3423 0.1712 0.5000
In2 In 0.5050 0.0100 0.0000
```

---

[10]
Compound: Y3PuIn12
Source: Alexandria via LeMat-Bulk
Functional: PBE-GGA
Structure: optimized geometry

```
data_Y3PuIn12
_symmetry_space_group_name_H-M 'P 4/m m m'
_symmetry_Int_Tables_number 123
_symmetry_space_group_name_Hall '-P 4 2'
_cell_length_a 4.6402
_cell_length_b 4.6402
_cell_length_c 18.6324
_cell_angle_alpha 90.00
_cell_angle_beta 90.00
_cell_angle_gamma 90.00
loop_
_atom_site_label
_atom_site_type_symbol
_atom_site_fract_x
_atom_site_fract_y
_atom_site_fract_z
Y1 Y 0.0000 0.0000 0.0000
Y2 Y 0.0000 0.0000 0.2485
Pu1 Pu 0.0000 0.0000 0.5000
In1 In 0.0000 0.5000 0.1248
In2 In 0.0000 0.5000 0.3753
In3 In 0.5000 0.5000 0.0000
In4 In 0.5000 0.5000 0.2507
In5 In 0.5000 0.5000 0.5000
```

---

[11]
Compound: Y5PuIn6
Source: Alexandria via LeMat-Bulk
Functional: PBE-GGA
Structure: optimized geometry

```
data_Y5PuIn6
_symmetry_space_group_name_H-M 'I m m m'
_symmetry_Int_Tables_number 71
_symmetry_space_group_name_Hall '-I 2 2'
_cell_length_a 5.3433
_cell_length_b 7.4977
_cell_length_c 16.0481
_cell_angle_alpha 90.00
_cell_angle_beta 90.00
_cell_angle_gamma 90.00
loop_
_atom_site_label
_atom_site_type_symbol
_atom_site_fract_x
_atom_site_fract_y
_atom_site_fract_z
Y1 Y 0.0000 0.0000 0.0000
Y2 Y 0.0000 0.0000 0.3387
Y3 Y 0.0000 0.5000 0.3316
Pu1 Pu 0.0000 0.5000 0.0000
In1 In 0.0000 0.2450 0.1690
In2 In 0.0000 0.2598 0.5000
```

---

[12]
Compound: YPuIn4
Source: Alexandria via LeMat-Bulk
Functional: PBE-GGA
Structure: optimized geometry

```
data_YPuIn4
_symmetry_space_group_name_H-M 'F -4 3 m'
_symmetry_Int_Tables_number 216
_symmetry_space_group_name_Hall 'F -4 2 3'
_cell_length_a 8.5273
_cell_length_b 8.5273
_cell_length_c 8.5273
_cell_angle_alpha 90.00
_cell_angle_beta 90.00
_cell_angle_gamma 90.00
loop_
_atom_site_label
_atom_site_type_symbol
_atom_site_fract_x
_atom_site_fract_y
_atom_site_fract_z
Y1 Y 0.0000 0.0000 0.0000
Pu1 Pu 0.2500 0.2500 0.2500
In1 In 0.1250 0.1250 0.6250
```

---

Record order is preserved below.
Density of states at the Fermi level: 41.95, 33.87, 12.44, 5.33, 10.41, 53.46, 12.70, 10.38, 12.74, 18.40, 26.25, 74.98 states/eV/cell
Record order is preserved below.
E: -5.1455, -10.0899, -10.5230, -7.7884, -10.5631, -9.3463, -5.9781, -5.5824, -4.9317, -4.5353, -5.6873, -5.5064 eV per atom
Record order is preserved below.
Formation energy: 0.34, 0.58, 0.15, -0.01, 0.11, 0.12, -0.39, -0.29, -0.28, -0.37, -0.43, -0.21 eV/atom